# GGA-PBE Mn2PtI8, optimized geometry
# - E_form (uncorrected) (meV/atom) = -273
data_Mn2PtI8
_chemical_formula_sum 'Mn2 Pt1 I8'
_cell_length_a 7.139
_cell_length_b 8.695
_cell_length_c 8.695
_cell_angle_alpha 61.68
_cell_angle_beta 87.00
_cell_angle_gamma 87.00
_symmetry_space_group_name_H-M 'P 1'
_symmetry_Int_Tables_number 1
_symmetry_space_group_name_Hall 'P 1'
loop_
_atom_site_label
_atom_site_fract_x
_atom_site_fract_y
_atom_site_fract_z
Mn1 0.556 0.158 0.158
Mn2 0.444 0.842 0.842
Pt1 0.000 0.000 0.000
I1 0.237 0.147 0.713
I2 0.237 0.713 0.147
I3 0.763 0.853 0.287
I4 0.431 0.667 0.667
I5 0.763 0.287 0.853
I6 0.176 0.158 0.158
I7 0.824 0.842 0.842
I8 0.569 0.333 0.333

# GGA-PBE LaTeIr2O, optimized geometry
# - E_form (uncorrected) (meV/atom) = 678
data_LaTeIr2O
_chemical_formula_sum 'La1 Te1 Ir2 O1'
_cell_length_a 5.250
_cell_length_b 4.087
_cell_length_c 5.250
_cell_angle_alpha 90.00
_cell_angle_beta 90.00
_cell_angle_gamma 90.00
_symmetry_space_group_name_H-M 'P 1'
_symmetry_Int_Tables_number 1
_symmetry_space_group_name_Hall 'P 1'
loop_
_atom_site_label
_atom_site_fract_x
_atom_site_fract_y
_atom_site_fract_z
Ir1 0.000 0.000 0.500
Ir2 0.500 0.000 0.000
Te1 0.500 0.500 0.500
O1 0.000 0.500 0.000
La1 0.000 0.000 0.000

# GGA-PBE Ac4In3Si5, optimized geometry
# - E_form (uncorrected) (meV/atom) = -231
data_Ac4In3Si5
_chemical_formula_sum 'Ac4 In3 Si5'
_cell_length_a 4.901
_cell_length_b 7.898
_cell_length_c 10.579
_cell_angle_alpha 79.32
_cell_angle_beta 76.61
_cell_angle_gamma 71.92
_symmetry_space_group_name_H-M 'P 1'
_symmetry_Int_Tables_number 1
_symmetry_space_group_name_Hall 'P 1'
loop_
_atom_site_label
_atom_site_fract_x
_atom_site_fract_y
_atom_site_fract_z
Ac1 0.901 0.271 0.928
Ac2 0.250 0.815 0.684
Ac3 0.750 0.185 0.316
Ac4 0.099 0.729 0.072
In1 0.403 0.838 0.356
In2 0.000 0.500 0.500
In3 0.597 0.162 0.644
Si1 0.567 0.978 0.887
Si2 0.500 0.500 0.500
Si3 0.270 0.325 0.135
Si4 0.730 0.675 0.865
Si5 0.433 0.022 0.113

# GGA-PBE CrOsAu2, optimized geometry
# - DFT formation energy (eV per atom) = 0.647
data_CrOsAu2
_chemical_formula_sum 'Cr1 Os1 Au2'
_cell_length_a 2.725
_cell_length_b 2.725
_cell_length_c 8.314
_cell_angle_alpha 90.00
_cell_angle_beta 90.00
_cell_angle_gamma 90.00
_symmetry_space_group_name_H-M 'P 1'
_symmetry_Int_Tables_number 1
_symmetry_space_group_name_Hall 'P 1'
loop_
_atom_site_label
_atom_site_fract_x
_atom_site_fract_y
_atom_site_fract_z
Au1 0.000 0.000 0.011
Au2 0.000 0.000 0.489
Cr1 0.500 0.500 0.250
Os1 0.500 0.500 0.750

# GGA-PBE ZrCdCl2, optimized geometry
# - E_form (uncorrected) (meV/atom) = -318
data_ZrCdCl2
_chemical_formula_sum 'Zr1 Cd1 Cl2'
_cell_length_a 4.956
_cell_length_b 4.956
_cell_length_c 4.956
_cell_angle_alpha 60.00
_cell_angle_beta 60.00
_cell_angle_gamma 60.00
_symmetry_space_group_name_H-M 'P 1'
_symmetry_Int_Tables_number 1
_symmetry_space_group_name_Hall 'P 1'
loop_
_atom_site_label
_atom_site_fract_x
_atom_site_fract_y
_atom_site_fract_z
Cl1 0.750 0.750 0.750
Cl2 0.250 0.250 0.250
Zr1 0.500 0.500 0.500
Cd1 0.000 0.000 0.000

# GGA-PBE TcWAu, optimized geometry
# - DFT formation energy (eV per atom) = 0.760
data_TcWAu
_chemical_formula_sum 'Tc1 W1 Au1'
_cell_length_a 4.314
_cell_length_b 4.314
_cell_length_c 4.314
_cell_angle_alpha 60.00
_cell_angle_beta 60.00
_cell_angle_gamma 60.00
_symmetry_space_group_name_H-M 'P 1'
_symmetry_Int_Tables_number 1
_symmetry_space_group_name_Hall 'P 1'
loop_
_atom_site_label
_atom_site_fract_x
_atom_site_fract_y
_atom_site_fract_z
Au1 0.000 0.000 0.000
Tc1 0.500 0.500 0.500
W1 0.250 0.250 0.250

# GGA-PBE Er6Tm8Zr, optimized geometry
# - DFT formation energy (eV per atom) = 0.155
data_Er6Tm8Zr
_chemical_formula_sum 'Er6 Tm8 Zr1'
_cell_length_a 5.691
_cell_length_b 9.610
_cell_length_c 9.610
_cell_angle_alpha 120.00
_cell_angle_beta 90.00
_cell_angle_gamma 90.00
_symmetry_space_group_name_H-M 'P 1'
_symmetry_Int_Tables_number 1
_symmetry_space_group_name_Hall 'P 1'
loop_
_atom_site_label
_atom_site_fract_x
_atom_site_fract_y
_atom_site_fract_z
Er1 0.743 0.622 0.093
Er2 0.743 0.907 0.529
Er3 0.743 0.471 0.378
Er4 0.257 0.378 0.907
Er5 0.257 0.093 0.471
Er6 0.257 0.529 0.622
Tm1 0.769 0.052 0.270
Tm2 0.769 0.730 0.782
Tm3 0.769 0.218 0.948
Tm4 0.231 0.948 0.730
Tm5 0.231 0.270 0.218
Tm6 0.231 0.782 0.052
Tm7 0.766 0.333 0.667
Tm8 0.234 0.667 0.333
Zr1 0.500 0.000 0.000

# GGA-PBE CeVSe2, optimized geometry
# - E_form (uncorrected) (meV/atom) = -535
data_CeVSe2
_chemical_formula_sum 'Ce1 V1 Se2'
_cell_length_a 3.358
_cell_length_b 3.358
_cell_length_c 9.381
_cell_angle_alpha 79.69
_cell_angle_beta 79.69
_cell_angle_gamma 60.00
_symmetry_space_group_name_H-M 'P 1'
_symmetry_Int_Tables_number 1
_symmetry_space_group_name_Hall 'P 1'
loop_
_atom_site_label
_atom_site_fract_x
_atom_site_fract_y
_atom_site_fract_z
Se1 0.109 0.109 0.673
Se2 0.891 0.891 0.327
Ce1 0.000 0.000 0.000
V1 0.500 0.500 0.500

# GGA-PBE Ca2LaReC, optimized geometry
# - DFT formation energy (eV per atom) = 0.376
data_Ca2LaReC
_chemical_formula_sum 'Ca2 La1 Re1 C1'
_cell_length_a 5.170
_cell_length_b 4.140
_cell_length_c 5.170
_cell_angle_alpha 90.00
_cell_angle_beta 90.00
_cell_angle_gamma 90.00
_symmetry_space_group_name_H-M 'P 1'
_symmetry_Int_Tables_number 1
_symmetry_space_group_name_Hall 'P 1'
loop_
_atom_site_label
_atom_site_fract_x
_atom_site_fract_y
_atom_site_fract_z
Re1 0.000 0.500 0.000
Ca1 0.000 0.000 0.500
Ca2 0.500 0.000 0.000
C1 0.000 0.000 0.000
La1 0.500 0.500 0.500

# GGA-PBE Pr11Sm9Y4, optimized geometry
# - DFT formation energy (eV per atom) = 0.061
data_Pr11Sm9Y4
_chemical_formula_sum 'Pr11 Sm9 Y4'
_cell_length_a 3.702
_cell_length_b 15.782
_cell_length_c 15.782
_cell_angle_alpha 113.97
_cell_angle_beta 90.00
_cell_angle_gamma 90.00
_symmetry_space_group_name_H-M 'P 1'
_symmetry_Int_Tables_number 1
_symmetry_space_group_name_Hall 'P 1'
loop_
_atom_site_label
_atom_site_fract_x
_atom_site_fract_y
_atom_site_fract_z
Pr1 0.000 0.599 0.961
Pr2 0.000 0.401 0.039
Pr3 0.000 0.961 0.599
Pr4 0.000 0.039 0.401
Pr5 0.000 0.631 0.369
Pr6 0.000 0.369 0.631
Pr7 0.000 0.836 0.164
Pr8 0.000 0.164 0.836
Pr9 0.000 0.000 0.000
Pr10 0.000 0.712 0.712
Pr11 0.000 0.288 0.288
Sm1 0.500 0.627 0.166
Sm2 0.500 0.373 0.834
Sm3 0.500 0.166 0.627
Sm4 0.500 0.834 0.373
Sm5 0.500 0.788 0.938
Sm6 0.500 0.212 0.062
Sm7 0.500 0.938 0.788
Sm8 0.500 0.062 0.212
Sm9 0.500 0.500 0.500
Y1 0.500 0.558 0.761
Y2 0.500 0.442 0.239
Y3 0.500 0.761 0.558
Y4 0.500 0.239 0.442

# GGA-PBE AgIr3, optimized geometry
# - DFT formation energy (eV per atom) = 0.323
data_AgIr3
_chemical_formula_sum 'Ag4 Ir12'
_cell_length_a 4.817
_cell_length_b 9.181
_cell_length_c 5.532
_cell_angle_alpha 90.00
_cell_angle_beta 90.00
_cell_angle_gamma 90.00
_symmetry_space_group_name_H-M 'P 1'
_symmetry_Int_Tables_number 1
_symmetry_space_group_name_Hall 'P 1'
loop_
_atom_site_label
_atom_site_fract_x
_atom_site_fract_y
_atom_site_fract_z
Ir1 0.922 0.250 0.849
Ir2 0.262 0.990 0.378
Ir3 0.262 0.510 0.378
Ir4 0.238 0.490 0.878
Ir5 0.238 0.010 0.878
Ir6 0.578 0.750 0.349
Ir7 0.422 0.250 0.651
Ir8 0.762 0.990 0.122
Ir9 0.762 0.510 0.122
Ir10 0.738 0.490 0.622
Ir11 0.738 0.010 0.622
Ir12 0.078 0.750 0.151
Ag1 0.066 0.750 0.644
Ag2 0.434 0.250 0.144
Ag3 0.566 0.750 0.856
Ag4 0.934 0.250 0.356

# GGA-PBE Pu2Mn3Si2, optimized geometry
# - E_form (uncorrected) (meV/atom) = -21
data_Pu2Mn3Si2
_chemical_formula_sum 'Pu4 Mn6 Si4'
_cell_length_a 6.774
_cell_length_b 6.774
_cell_length_c 6.774
_cell_angle_alpha 109.47
_cell_angle_beta 109.47
_cell_angle_gamma 109.47
_symmetry_space_group_name_H-M 'P 1'
_symmetry_Int_Tables_number 1
_symmetry_space_group_name_Hall 'P 1'
loop_
_atom_site_label
_atom_site_fract_x
_atom_site_fract_y
_atom_site_fract_z
Pu1 0.000 0.000 0.497
Pu2 0.500 0.497 0.500
Pu3 0.503 0.003 0.003
Pu4 0.997 0.500 0.000
Mn1 0.768 0.750 0.018
Mn2 0.732 0.250 0.482
Mn3 0.982 0.232 0.250
Mn4 0.518 0.268 0.750
Mn5 0.250 0.018 0.268
Mn6 0.750 0.482 0.232
Si1 0.000 0.000 0.907
Si2 0.500 0.907 0.500
Si3 0.093 0.593 0.593
Si4 0.407 0.500 0.000